# Mg2CrIr PBE optimized geometry
# - calculated volume (Å³/cell) = 129.51
# - formation energy (kJ/mol of atoms) = 4.01
data_Mg2CrIr
_cell_length_a 3.201
_cell_length_b 4.545
_cell_length_c 8.901
_cell_angle_alpha 90.00
_cell_angle_beta 90.00
_cell_angle_gamma 90.00
_symmetry_space_group_name_H-M 'I m m m'
_symmetry_Int_Tables_number 71
_symmetry_space_group_name_Hall '-I 2 2'
loop_
_atom_site_label
_atom_site_type_symbol
_atom_site_fract_x
_atom_site_fract_y
_atom_site_fract_z
Mg1 Mg 0.000 0.000 0.240
Cr1 Cr 0.000 0.500 0.000
Ir1 Ir 0.000 0.500 0.500